AlIr4Pb | PBE | optimized geometry

The calculation puts the spin magnetization at 0.0 μB/f.u. The formation energy comes out at 30 kJ/mol of atoms. The calculated total energy comes out at -41.03 eV for the cell shown.

CIF file:
```
data_AlIr4Pb
_cell_length_a 5.301
_cell_length_b 5.301
_cell_length_c 5.301
_cell_angle_alpha 60.00
_cell_angle_beta 60.00
_cell_angle_gamma 60.00
_symmetry_space_group_name_H-M 'P 1'
_symmetry_Int_Tables_number 1
loop_
_symmetry_equiv_pos_as_xyz
'x,y,z'
loop_
_atom_site_label
_atom_site_type_symbol
_atom_site_fract_x
_atom_site_fract_y
_atom_site_fract_z
Al1 Al 0.000 0.000 0.000
Ir1 Ir 0.124 0.625 0.625
Ir2 Ir 0.625 0.124 0.625
Ir3 Ir 0.625 0.625 0.124
Ir4 Ir 0.625 0.625 0.625
Pb1 Pb 0.250 0.250 0.250
```